This record from Alexandria describes a relaxed structure of BaZn2MoF8. The functional is PBE+U.

Summary:
* magnetization: 9.41 μB per cell
* calculated volume: 15.42 A^3/atom
* VASP energy: -4.69 eV/atom

a b c (Å): 5.4459 5.4459 21.6155
angles (deg): 90.00 90.00 120.00
Space group R-3 (No. 148, hexagonal axes)
Inequivalent atoms, fractional coordinates:
Ba 0.0000 0.0000 0.0000 (multiplicity 3)
Zn 0.0000 0.0000 0.2301 (multiplicity 6)
Mo 0.0000 0.0000 0.5000 (multiplicity 3)
F 0.0000 0.0000 0.3200 (multiplicity 6)
F 0.0017 0.6208 0.7758 (multiplicity 18)